Record 1
LaPm8Mg2 | PBE-GGA | optimized geometry

Computed properties:
As for the formation enthalpy at 0 K: 11 meV/atom. The total magnetization comes out at 0.0 μB per formula unit. The calculation puts the relative energy among the computed polymorphs at 0.0 meV/atom.

POSCAR file:
```
LaPm8Mg2
1.0
8.642 -2.682 0.000
8.642 2.682 0.000
-3.266 0.000 7.799
La Pm Mg
1 8 2
direct
0.000 0.000 0.000
0.099 0.099 0.470
0.187 0.187 0.950
0.352 0.352 0.795
0.448 0.448 0.265
0.552 0.552 0.735
0.648 0.648 0.205
0.813 0.813 0.050
0.901 0.901 0.530
0.274 0.274 0.369
0.726 0.726 0.631
```

Record 2
PC | PBE-GGA | optimized geometry

Computed properties:
As for the formation enthalpy at 0 K: 1127 meV/atom. The total magnetization comes out at 0.0 μB per formula unit. The calculation puts the relative energy among the computed polymorphs at 814.3 meV/atom.

POSCAR file:
```
PC
1.0
3.303 0.000 0.000
0.000 2.961 0.000
-0.004 0.000 4.166
P C
2 2
direct
0.183 0.250 0.249
0.817 0.750 0.751
0.157 0.250 0.751
0.843 0.750 0.249
```

Record 3
LiGe3 | PBE-GGA | optimized geometry

Computed properties:
As for the formation enthalpy at 0 K: 9 meV/atom. The total magnetization comes out at 0.0 μB per formula unit. The calculation puts the relative energy among the computed polymorphs at 24.2 meV/atom.

POSCAR file:
```
LiGe3
1.0
-2.062 2.062 4.216
2.062 -2.062 4.216
2.062 2.062 -4.216
Li Ge
1 3
direct
0.000 0.000 0.000
0.250 0.750 0.500
0.500 0.500 0.000
0.750 0.250 0.500
```

Record 4
ScHgRh | PBE-GGA | optimized geometry

Computed properties:
As for the formation enthalpy at 0 K: -577 meV/atom. The total magnetization comes out at 0.0 μB per formula unit.

POSCAR file:
```
ScHgRh
1.0
-1.712 1.712 4.721
1.712 -1.712 4.721
1.712 1.712 -4.721
Sc Hg Rh
1 1 1
direct
0.000 0.000 0.000
0.314 0.314 0.000
0.633 0.633 0.000
```

Record 5
CsTl2CdAu | PBE-GGA | optimized geometry

Computed properties:
As for the formation enthalpy at 0 K: -17 meV/atom. The total magnetization comes out at 0.0 μB per formula unit. The calculation puts the relative energy among the computed polymorphs at 0.0 meV/atom.

POSCAR file:
```
CsTl2CdAu
1.0
5.738 0.000 0.000
0.000 5.738 0.000
0.000 0.000 5.541
Cs Tl Cd Au
1 2 1 1
direct
0.000 0.000 0.000
0.000 0.500 0.500
0.500 0.000 0.500
0.500 0.500 0.000
0.500 0.500 0.500
```

Record 6
LaCdCu | PBE-GGA | optimized geometry

Computed properties:
As for the formation enthalpy at 0 K: -228 meV/atom. The total magnetization comes out at 0.0 μB per formula unit.

POSCAR file:
```
LaCdCu
1.0
4.762 0.000 0.000
-2.381 4.124 0.000
0.000 0.000 3.704
La Cd Cu
1 1 1
direct
0.000 0.000 0.000
0.667 0.333 0.500
0.333 0.667 0.500
```

Record 7
La3PCl2 | PBE-GGA | optimized geometry

Computed properties:
The total magnetization comes out at 0.0 μB per formula unit. The calculation puts the relative energy among the computed polymorphs at 11.2 meV/atom. The formation energy (no corrections) is -1.651 eV/atom.

POSCAR file:
```
La3PCl2
1.0
-2.118 2.961 6.235
2.118 -2.961 6.235
2.118 2.961 -6.235
La P Cl
3 1 2
direct
0.000 0.000 0.000
0.344 0.344 0.000
0.656 0.656 0.000
0.500 0.000 0.500
0.167 0.667 0.500
0.833 0.333 0.500
```

Record 8
MoRuPt | PBE-GGA | optimized geometry

Computed properties:
As for the formation enthalpy at 0 K: -142 meV/atom. The total magnetization comes out at 0.0 μB per formula unit. The calculation puts the relative energy among the computed polymorphs at 37.0 meV/atom.

POSCAR file:
```
MoRuPt
1.0
-1.366 1.972 4.180
1.366 -1.972 4.180
1.366 1.972 -4.180
Mo Ru Pt
1 1 1
direct
0.000 0.000 0.000
0.340 0.340 0.000
0.672 0.672 0.000
```